[1]
VASP calculation (GGA-PBE) on a geometry-optimized Tc2AsW structure.

Energy relative to the elements in meV per atom: 315

```
Tc2AsW
1.0
5.0819 0.0030 -0.0043
-2.2920 4.4886 0.0013
0.5929 0.7771 2.6804
Tc As W
2 1 1
direct
0.0000 0.5000 0.5000
0.0000 0.0000 0.0000
0.5000 0.0000 0.5000
0.5000 0.5000 0.0000
```

[2]
VASP calculation (GGA-PBE) on a geometry-optimized LaPr3In3 structure.

Distance to the lowest polymorph of the same formula in eV/f.u.: 0.04
Energy relative to the elements in meV per atom: -350

```
LaPr3In3
1.0
-2.8571 5.3072 7.6070
0.2313 -7.9165 5.6100
9.2725 1.8327 2.2040
In Pr La
12 12 4
direct
0.5007 0.7527 0.3772
0.0007 0.7473 0.6228
0.7527 0.3772 0.5007
0.3772 0.5007 0.7527
0.1228 0.4993 0.2527
0.8772 0.9993 0.2473
0.4993 0.2527 0.1228
0.2473 0.8772 0.9993
0.6228 0.0007 0.7473
0.2527 0.1228 0.4993
0.9993 0.2473 0.8772
0.7473 0.6228 0.0007
0.9228 0.9228 0.9228
0.4228 0.5772 0.0772
0.3242 0.1758 0.8242
0.6758 0.6758 0.6758
0.1753 0.1753 0.1753
0.0772 0.4228 0.5772
0.6753 0.3247 0.8247
0.1758 0.8242 0.3242
0.3247 0.8247 0.6753
0.8242 0.3242 0.1758
0.5772 0.0772 0.4228
0.8247 0.6753 0.3247
0.0748 0.5748 0.9252
0.9252 0.0748 0.5748
0.4252 0.4252 0.4252
0.5748 0.9252 0.0748
```

[3]
VASP calculation (GGA-PBE) on a geometry-optimized K2SmSb3Pt4 structure.

```
K2SmSb3Pt4
1.0
-0.3745 4.0535 2.4342
-4.4503 -1.1271 1.1921
3.7246 -5.1065 9.0766
Sb K Pt Sm
3 2 4 1
direct
0.0000 0.5000 0.1185
0.0000 0.0000 0.5000
0.5000 0.0000 0.8815
0.5000 0.0000 0.2335
0.0000 0.5000 0.7665
0.0000 0.5000 0.3582
0.5000 0.0000 0.6418
0.0000 0.0000 0.0000
0.5000 0.5000 0.0000
0.5000 0.5000 0.5000
```

[4]
VASP calculation (GGA-PBE) on a geometry-optimized BePd2W structure.

Energy relative to the elements in meV per atom: 414

```
BePd2W
1.0
3.7175 0.0000 0.0000
0.0000 3.7175 0.0000
1.8587 1.8587 8.6671
W Pd Be
2 4 2
direct
0.0000 0.0000 0.0000
0.7500 0.2500 0.5000
0.6139 0.1250 0.2500
0.1361 0.6250 0.2500
0.3750 0.3861 0.7500
0.8750 0.8639 0.7500
0.2500 0.7500 0.5000
0.5000 0.5000 0.0000
```

no.,final energy (eV/cell)
1,-37.08
2,-119.73
3,-49.37
4,-50.82